[1]
{"formula": "LaPm3Y6Sc2", "functional": "PBE", "state": "relaxed", "cell": [[3.079, -5.331, 0.000], [3.079, 5.331, 0.000], [-2.040, 0.000, 11.615]], "species": ["La", "Pm", "Pm", "Pm", "Y", "Y", "Y", "Y", "Y", "Y", "Sc", "Sc"], "frac_coords": [[0.000, 0.000, 0.000], [0.167, 0.833, 0.500], [0.500, 0.500, 0.500], [0.833, 0.167, 0.500], [0.083, 0.419, 0.245], [0.254, 0.254, 0.754], [0.419, 0.083, 0.245], [0.581, 0.917, 0.755], [0.746, 0.746, 0.246], [0.917, 0.581, 0.755], [0.333, 0.667, 0.000], [0.667, 0.333, 0.000]], "rho_kg_m3": 5214, "magnetic_moment_mub_per_atom": 0.000, "formation_energy_ev_per_atom": 0.0429}

[2]
{"formula": "Tb5HoTm7", "functional": "PBE", "state": "relaxed", "cell": [[-3.320, 5.465, 5.710], [3.320, -5.465, 5.710], [3.320, 5.465, -5.710]], "species": ["Tb", "Tb", "Tb", "Tb", "Tb", "Ho", "Tm", "Tm", "Tm", "Tm", "Tm", "Tm", "Tm"], "frac_coords": [[0.000, 0.000, 0.000], [0.274, 0.230, 0.503], [0.274, 0.770, 0.044], [0.726, 0.230, 0.956], [0.726, 0.770, 0.496], [0.696, 0.196, 0.500], [0.002, 0.502, 0.500], [0.083, 0.252, 0.831], [0.308, 0.808, 0.500], [0.421, 0.252, 0.169], [0.501, 0.501, 0.000], [0.579, 0.749, 0.830], [0.918, 0.749, 0.170]], "rho_kg_m3": 8583, "magnetic_moment_mub_per_atom": 0.000, "formation_energy_ev_per_atom": 0.2626}

[3]
{"formula": "Ti3TcS", "functional": "PBE", "state": "relaxed", "cell": [[4.705, 0.000, 0.000], [0.000, 4.705, 0.000], [0.000, 0.000, 4.705]], "species": ["Ti", "Ti", "Ti", "Tc", "S"], "frac_coords": [[0.000, 0.000, 0.500], [0.000, 0.500, 0.000], [0.500, 0.000, 0.000], [0.000, 0.000, 0.000], [0.500, 0.500, 0.500]], "formation_energy_uncorrected_ev_per_atom": 0.544, "rho_kg_m3": 4364, "magnetic_moment_mub_per_atom": 0.181, "relative_energy_mev_per_atom": 681}

[4]
{"formula": "PrTh2Au8", "functional": "PBE", "state": "relaxed", "cell": [[4.057, -7.698, 0.000], [4.057, 7.698, 0.000], [-3.368, 0.000, 4.013]], "species": ["Pr", "Th", "Th", "Au", "Au", "Au", "Au", "Au", "Au", "Au", "Au"], "frac_coords": [[0.000, 0.000, 0.000], [0.316, 0.684, 0.500], [0.684, 0.316, 0.500], [0.093, 0.359, 0.727], [0.203, 0.797, 0.000], [0.359, 0.093, 0.727], [0.500, 0.500, 0.249], [0.500, 0.500, 0.751], [0.641, 0.907, 0.273], [0.797, 0.203, 0.000], [0.907, 0.641, 0.273]], "rho_kg_m3": 14447, "magnetic_moment_mub_per_atom": 0.000, "formation_energy_ev_per_atom": -0.6579}